Here is a geometry-optimized La2MnSb structure from the Alexandria database. Energies are from GGA-PBE.

- E_tot (eV per atom) = -6.274
- calculated density (Mg/m³) = 6.4
- total magnetic moment (μB per atom) = 0.562
- Fermi-level density of states (states/eV per cell) = 2.55
- space-group type = No. 38

Unit cell a=4.4927 b=4.4069 c=6.3569 alpha=69.74 beta=90.00 gamma=90.00
With the nearest neighbours (Å) after each atom.
Atoms (fractional coordinates):
Sb 0.5000 0.5554 0.7647  2 Mn 2.85
La 0.0000 0.9762 0.9233  3 Mn 3.26-3.49, 4 Sb 3.29
La 0.5000 0.2662 0.3421  4 Mn 3.24, 3 Sb 3.35-3.44
Mn 0.0000 0.7021 0.4699  2 Sb 2.85

Here is a geometry-optimized Pa8MnCo5 structure from the Alexandria database. Energies are from GGA-PBE.

- E_tot (eV per atom) = -8.848
- calculated density (Mg/m³) = 13.3
- total magnetic moment (μB per atom) = 0.000
- Fermi-level density of states (states/eV per cell) = 22.09
- space-group type = No. 82

Unit cell a=7.0893 b=7.0893 c=7.0893 alpha=109.89 beta=108.64 gamma=109.89
With the nearest neighbours (Å) after each atom.
Atoms (fractional coordinates):
Co 0.7488 0.6338 0.6274  4 Pa 2.58-2.65
Co 0.8850 0.8786 0.2512  4 Pa 2.58-2.65
Co 0.5000 0.0000 0.5000  4 Pa 2.61
Co 0.9937 0.3662 0.1150  4 Pa 2.58-2.65
Co 0.3726 0.1214 0.0063  4 Pa 2.58-2.65
Pa 0.0168 0.1406 0.7597  1 Mn 2.56, 2 Co 2.58-2.65
Pa 0.6141 0.3562 0.8767  3 Co 2.58-2.64
Pa 0.6191 0.8594 0.8763  1 Mn 2.56, 2 Co 2.58-2.65
Pa 0.2403 0.2571 0.3809  1 Mn 2.56, 2 Co 2.58-2.65
Pa 0.1233 0.7375 0.4796  3 Co 2.58-2.64
Pa 0.1237 0.7429 0.9832  1 Mn 2.56, 2 Co 2.58-2.65
Pa 0.5204 0.6438 0.2579  3 Co 2.58-2.64
Pa 0.7421 0.2625 0.3859  3 Co 2.58-2.64
Mn 0.2500 0.5000 0.7500  4 Pa 2.56

Here is a geometry-optimized RbSe2F structure from the Alexandria database. Energies are from GGA-PBE.

- calculated density (Mg/m³) = 3.9
- energy above the lowest structure with this stoichiometry (meV per atom) = 948
- total magnetic moment (μB per atom) = 0.000
- Fermi-level density of states (states/eV per cell) = 3.75
- space-group type = No. 166

Unit cell a=9.6813 b=9.6813 c=9.6813 alpha=22.03 beta=22.03 gamma=22.03
With the nearest neighbours (Å) after each atom.
Atoms (fractional coordinates):
Se 0.9257 0.9257 0.9257  1 F 2.10
Se 0.0743 0.0743 0.0743  1 F 2.10
Rb 0.5000 0.5000 0.5000  6 Se 3.38, 6 Rb 3.70
F 0.0000 0.0000 0.0000  2 Se 2.10

Here is a geometry-optimized Sr2AsIr structure from the Alexandria database. Energies are from GGA-PBE.

- E_tot (eV per atom) = -4.330
- calculated density (Mg/m³) = 7.4
- total magnetic moment (μB per atom) = 0.000
- Fermi-level density of states (states/eV per cell) = 4.63
- space-group type = No. 119

Unit cell a=5.8473 b=5.8473 c=5.8473 alpha=134.79 beta=134.79 gamma=65.86
With the nearest neighbours (Å) after each atom.
Atoms (fractional coordinates):
Sr 0.0000 0.0000 0.0000  4 As 3.18, 4 Ir 3.33, 4 Sr 3.33
Sr 0.2500 0.7500 0.5000  4 Ir 3.18, 4 As 3.33, 4 Sr 3.33
As 0.5000 0.5000 0.0000  8 Sr 3.18-3.33, 4 Ir 3.33
Ir 0.7500 0.2500 0.5000  8 Sr 3.18-3.33, 4 As 3.33

Here is a geometry-optimized TmHgCl structure from the Alexandria database. Energies are from GGA-PBE.

- E_tot (eV per atom) = -3.252
- calculated density (Mg/m³) = 7.6
- total magnetic moment (μB per atom) = 0.000
- Fermi-level density of states (states/eV per cell) = 1.77
- space-group type = No. 38

Unit cell a=3.6351 b=3.6364 c=15.3845 alpha=90.00 beta=90.00 gamma=119.99
With the nearest neighbours (Å) after each atom.
Atoms (fractional coordinates):
Hg 0.6064 0.2128 0.0000  6 Hg 3.64
Hg 0.2784 0.5568 0.5000  6 Tm 3.08
Tm 0.6119 0.2238 0.6463  3 Cl 2.76, 3 Hg 3.08
Tm 0.6119 0.2238 0.3537  3 Cl 2.76, 3 Hg 3.08
Cl 0.2790 0.5580 0.7627  3 Tm 2.76
Cl 0.2790 0.5580 0.2373  3 Tm 2.76

Here is a geometry-optimized YHg2P structure from the Alexandria database. Energies are from GGA-PBE.

- E_tot (eV per atom) = -3.536
- calculated density (Mg/m³) = 8.4
- total magnetic moment (μB per atom) = 0.000
- Fermi-level density of states (states/eV per cell) = 1.26
- space-group type = No. 160

Unit cell a=7.2641 b=7.2641 c=7.2641 alpha=33.22 beta=33.22 gamma=33.22
With the nearest neighbours (Å) after each atom.
Atoms (fractional coordinates):
Y 0.7644 0.7644 0.7644  3 P 2.73
Hg 0.2378 0.2378 0.2378  3 P 2.87, 3 Hg 3.03
Hg 0.9948 0.9948 0.9948  3 Hg 3.03, 3 Y 3.20
P 0.4945 0.4945 0.4945  3 Y 2.73, 3 Hg 2.87

Here is a geometry-optimized TaV8 structure from the Alexandria database. Energies are from GGA-PBE.

- E_tot (eV per atom) = -9.299
- calculated density (Mg/m³) = 7.6
- total magnetic moment (μB per atom) = 0.000
- Fermi-level density of states (states/eV per cell) = 13.33
- space-group type = No. 139

Unit cell a=4.5077 b=5.7842 c=5.7842 alpha=81.27 beta=67.07 gamma=67.07
With the nearest neighbours (Å) after each atom.
Atoms (fractional coordinates):
V 0.6582 0.3418 0.3418  3 V 2.38-2.49, 1 Ta 2.58
V 0.0000 0.3418 0.6582  3 V 2.38-2.49, 1 Ta 2.58
V 0.0000 0.6582 0.3418  3 V 2.38-2.49, 1 Ta 2.58
V 0.6696 0.0000 0.6608  4 V 2.49-2.56
V 0.3418 0.6582 0.6582  3 V 2.38-2.49, 1 Ta 2.58
V 0.3304 0.0000 0.3392  4 V 2.49-2.56
V 0.6696 0.6608 0.0000  4 V 2.49-2.56
V 0.3304 0.3392 0.0000  4 V 2.49-2.56
Ta 0.0000 0.0000 0.0000  4 V 2.58

Here is a geometry-optimized KTcO3 structure from the Alexandria database. Energies are from GGA-PBE.

- E_tot (eV per atom) = -6.776
- calculated density (Mg/m³) = 4.4
- total magnetic moment (μB per atom) = 0.000
- Fermi-level density of states (states/eV per cell) = 4.29
- space-group type = No. 11

Unit cell a=3.8065 b=5.6912 c=6.7615 alpha=90.00 beta=106.24 gamma=90.00
With the nearest neighbours (Å) after each atom.
Atoms (fractional coordinates):
Tc 0.0064 0.7500 0.5130  6 O 1.90-2.06
Tc 0.9936 0.2500 0.4870  6 O 1.90-2.06
K 0.7107 0.2500 0.9233  7 O 2.70-2.81
K 0.2893 0.7500 0.0767  7 O 2.70-2.81
O 0.1100 0.0049 0.7213  2 Tc 1.98-2.06
O 0.8900 0.5049 0.2787  2 Tc 1.98-2.06
O 0.1100 0.4951 0.7213  2 Tc 1.98-2.06
O 0.8900 0.9951 0.2787  2 Tc 1.98-2.06
O 0.4951 0.2500 0.4900  2 Tc 1.90
O 0.5049 0.7500 0.5100  2 Tc 1.90